VASP calculation (PBE) on a relaxed Pm3RuO7 crystal.

Cell lengths 6.585, 6.585, 7.567 Å; angles 90.00, 90.00, 111.18 degrees
Last column: magnetic moment on the atom in μB.
Atoms (fractional coordinates):
Pm 0.918 0.474 0.250  0.02
O 0.439 0.186 0.039  0.15
O 0.894 0.158 0.750  0.02
O 0.186 0.439 0.461  0.15
O 0.186 0.439 0.039  0.15
O 0.584 0.584 0.250  0.12
Ru 0.500 0.500 0.500  1.93
O 0.106 0.842 0.250  0.02
Ru 0.500 0.500 0.000  1.93
O 0.814 0.561 0.961  0.15
O 0.814 0.561 0.539  0.15
O 0.439 0.186 0.461  0.15
O 0.842 0.106 0.250  0.02
Pm 0.000 0.000 0.500  0.01
O 0.416 0.416 0.750  0.12
O 0.561 0.814 0.539  0.15
Pm 0.082 0.526 0.750  0.02
Pm 0.474 0.918 0.250  0.02
O 0.561 0.814 0.961  0.15
Pm 0.526 0.082 0.750  0.02
Pm 0.000 0.000 0.000  0.01
O 0.158 0.894 0.750  0.02

E_tot: -7.95 eV per atom



VASP calculation (PBE) on a relaxed Pm12Ru3O5 crystal.

Cell lengths 13.489, 13.489, 13.489 Å; angles 109.47, 109.47, 109.47 degrees
Atoms (fractional coordinates):
O 0.625 0.750 0.875
Pm 0.183 0.088 0.708
Pm 0.095 0.183 0.476
Pm 0.476 0.683 0.095
Pm 0.620 0.595 0.912
Ru 0.625 0.375 0.750
Pm 0.905 0.817 0.524
Pm 0.208 0.683 0.088
Pm 0.905 0.088 0.880
Pm 0.588 0.880 0.405
O 0.875 0.250 0.625
Pm 0.912 0.095 0.620
Pm 0.708 0.588 0.183
Pm 0.792 0.317 0.912
Pm 0.024 0.620 0.708
Pm 0.292 0.412 0.817
Ru 0.625 0.250 0.375
O 0.375 0.125 0.750
Pm 0.412 0.120 0.595
Pm 0.620 0.024 0.208
Pm 0.817 0.912 0.292
Pm 0.708 0.120 0.024
Ru 0.750 0.875 0.625
O 0.500 0.500 0.500
Pm 0.683 0.208 0.588
O 0.125 0.750 0.375
O 0.625 0.875 0.250
Pm 0.120 0.708 0.524
Pm 0.524 0.317 0.905
Pm 0.095 0.912 0.120
Pm 0.380 0.405 0.088
O 0.500 0.000 0.500
Pm 0.380 0.976 0.792
Ru 0.125 0.250 0.875
Ru 0.750 0.375 0.125
Pm 0.524 0.208 0.120
Pm 0.412 0.292 0.317
Pm 0.595 0.976 0.683
Pm 0.588 0.708 0.683
O 0.500 0.500 0.000
Pm 0.976 0.595 0.183
Pm 0.595 0.620 0.412
Ru 0.250 0.625 0.875
Pm 0.880 0.292 0.476
Pm 0.683 0.476 0.595
Pm 0.292 0.880 0.976
O 0.750 0.125 0.875
Pm 0.024 0.405 0.817
Pm 0.976 0.380 0.292
Pm 0.405 0.380 0.588
Pm 0.088 0.905 0.380
Pm 0.792 0.476 0.380
Ru 0.375 0.625 0.250
Pm 0.317 0.792 0.412
Ru 0.250 0.125 0.375
Pm 0.183 0.095 0.976
Pm 0.317 0.524 0.405
Pm 0.405 0.024 0.317
O 0.000 0.000 0.500
Pm 0.208 0.524 0.620
O 0.500 0.000 0.000
O 0.750 0.625 0.375
Pm 0.120 0.412 0.095
O 0.375 0.250 0.125
O 0.000 0.500 0.000
O 0.250 0.375 0.625
Ru 0.375 0.750 0.625
Ru 0.125 0.875 0.750
Pm 0.088 0.183 0.208
Ru 0.875 0.750 0.125
O 0.000 0.500 0.500
Pm 0.880 0.588 0.905
Ru 0.875 0.125 0.250
O 0.000 0.000 0.000
O 0.250 0.875 0.125
Pm 0.476 0.792 0.880
O 0.125 0.375 0.250
O 0.875 0.625 0.750
Pm 0.912 0.817 0.792
Pm 0.817 0.905 0.024

E_tot: -6.89 eV per atom



VASP calculation (PBE) on a relaxed Pm2RuO6 crystal.

Cell lengths 3.795, 5.442, 6.428 Å; angles 115.05, 107.17, 90.00 degrees
Last column: magnetic moment on the atom in μB.
Atoms (fractional coordinates):
O 0.500 0.207 0.000  0.01
Pm 0.333 0.333 0.666  0.03
Ru 0.000 0.000 0.000  1.37
O 0.146 0.380 0.292  0.11
Pm 0.667 0.667 0.334  0.03
O 0.854 0.620 0.708  0.11
O 0.500 0.793 0.000  0.01
O 0.146 0.912 0.292  0.11
O 0.854 0.088 0.708  0.11

E above lowest polymorph: 208 meV/atom



> Which formula does entry 2 have?

Pm12Ru3O5